# 1
Mn3IrPd | Alexandria | PBE | optimized geometry; energy relative to the lowest polymorph listed for this composition = 0.000 eV per atom; E_tot = -7.3477 eV per atom; energy of formation = 4.82 eV per formula unit; magnetic moment = 13.30 μB per formula unit
1.0
-3.7864 -2.7691 0.8275
1.5843 -3.1294 -3.2228
2.4172 -2.2866 3.4086
Mn Ir Pd
3 1 1
direct
0.0000 0.5000 0.0000
0.0000 0.0000 0.5000
0.5000 0.0000 0.0000
0.0000 0.0000 0.0000
0.5000 0.5000 0.5000

***

# 2
MnIrPd2 | Alexandria | PBE | optimized geometry; E_tot = -6.6823 eV per atom; energy of formation = 1.69 eV per formula unit; magnetic moment = 4.18 μB per formula unit
1.0
-2.0927 4.4350 -5.0112
-6.6917 -1.4231 1.5351
-4.4096 3.4790 0.0154
Mn Ir Pd
2 2 4
direct
0.5000 0.5000 0.0000
0.2500 0.7500 0.5000
0.0000 0.0000 0.0000
0.7500 0.2500 0.5000
0.6183 0.1250 0.2500
0.1317 0.6250 0.2500
0.3750 0.3817 0.7500
0.8750 0.8683 0.7500